Entry 1:
Density functional theory data (GGA-PBE) for a relaxed structure of HfNbTcBi2.

```
data_HfNbTcBi2
_chemical_formula_sum 'Hf1 Nb1 Tc1 Bi2'
_cell_length_a 5.524
_cell_length_b 5.524
_cell_length_c 4.980
_cell_angle_alpha 90.00
_cell_angle_beta 90.00
_cell_angle_gamma 90.00
_space_group_name_H-M_alt 'P 4/m m m'
_space_group_IT_number 123
_space_group_name_Hall '-P 4 2'
loop_
_atom_site_label
_atom_site_type_symbol
_atom_site_fract_x
_atom_site_fract_y
_atom_site_fract_z
Hf1 Hf 0.000 0.000 0.000
Nb1 Nb 0.000 0.000 0.500
Tc1 Tc 0.500 0.500 0.500
Bi1 Bi 0.000 0.500 0.000
```

Computed properties:
DFT total energy	-30.01	eV for the cell shown
energy of formation from the pure elements	1.629	eV per atom

***

Entry 2:
Density functional theory data (GGA-PBE) for a relaxed structure of HfNbBi2Te.

```
data_HfNbBi2Te
_chemical_formula_sum 'Hf1 Nb1 Bi2 Te1'
_cell_length_a 5.728
_cell_length_b 5.728
_cell_length_c 5.190
_cell_angle_alpha 90.00
_cell_angle_beta 90.00
_cell_angle_gamma 90.00
_space_group_name_H-M_alt 'P 4/m m m'
_space_group_IT_number 123
_space_group_name_Hall '-P 4 2'
loop_
_atom_site_label
_atom_site_type_symbol
_atom_site_fract_x
_atom_site_fract_y
_atom_site_fract_z
Hf1 Hf 0.000 0.000 0.000
Nb1 Nb 0.500 0.500 0.000
Bi1 Bi 0.000 0.500 0.500
Te1 Te 0.000 0.000 0.500
```

Computed properties:
DFT total energy	-23.30	eV for the cell shown
energy relative to the elements, uncorrected	147	kJ per mole of atoms

***

Entry 3:
Density functional theory data (GGA-PBE) for a relaxed structure of NdHfBi2.

```
data_NdHfBi2
_chemical_formula_sum 'Nd3 Hf3 Bi6'
_cell_length_a 3.4544
_cell_length_b 3.4544
_cell_length_c 34.4745
_cell_angle_alpha 90.00
_cell_angle_beta 90.00
_cell_angle_gamma 120.00
_space_group_name_H-M_alt 'R -3 m'
_space_group_IT_number 166
_space_group_name_Hall '-R 3 2"'
loop_
_atom_site_label
_atom_site_type_symbol
_atom_site_fract_x
_atom_site_fract_y
_atom_site_fract_z
Nd1 Nd 0.0000 0.0000 0.0000
Hf1 Hf 0.0000 0.0000 0.5000
Bi1 Bi 0.0000 0.0000 0.0965
```

Computed properties:
DFT total energy	-67.49	eV for the cell shown
E above lowest polymorph	301	meV per atom
energy of formation from the pure elements	-0.004	eV per atom

***

Entry 4:
Density functional theory data (GGA-PBE) for a relaxed structure of NdHfBi2.

```
data_NdHfBi2
_chemical_formula_sum 'Nd1 Hf1 Bi2'
_cell_length_a 3.687
_cell_length_b 3.687
_cell_length_c 8.086
_cell_angle_alpha 90.00
_cell_angle_beta 90.00
_cell_angle_gamma 90.00
_space_group_name_H-M_alt 'P 4/m m m'
_space_group_IT_number 123
_space_group_name_Hall '-P 4 2'
loop_
_atom_site_label
_atom_site_type_symbol
_atom_site_fract_x
_atom_site_fract_y
_atom_site_fract_z
Nd1 Nd 0.000 0.000 0.000
Hf1 Hf 0.000 0.000 0.500
Bi1 Bi 0.500 0.500 0.278
```

Computed properties:
DFT total energy	-23.70	eV for the cell shown
E above lowest polymorph	0	meV per atom
energy of formation from the pure elements	-0.305	eV per atom

***

Entry 5:
Density functional theory data (GGA-PBE) for a relaxed structure of Hf2Ni2Bi.

```
data_Hf2Ni2Bi
_chemical_formula_sum 'Hf4 Ni4 Bi2'
_cell_length_a 4.364
_cell_length_b 4.364
_cell_length_c 10.320
_cell_angle_alpha 90.00
_cell_angle_beta 90.00
_cell_angle_gamma 90.00
_space_group_name_H-M_alt 'I 4/m m m'
_space_group_IT_number 139
_space_group_name_Hall '-I 4 2'
loop_
_atom_site_label
_atom_site_type_symbol
_atom_site_fract_x
_atom_site_fract_y
_atom_site_fract_z
Hf1 Hf 0.000 0.500 0.250
Ni1 Ni 0.000 0.000 0.114
Bi1 Bi 0.000 0.000 0.500
```

Computed properties:
DFT total energy	-72.26	eV for the cell shown
E above lowest polymorph	211	meV per atom
energy of formation from the pure elements	-0.156	eV per atom

***

Entry 6:
Density functional theory data (GGA-PBE) for a relaxed structure of HfNi3Bi.

```
data_HfNi3Bi
_chemical_formula_sum 'Hf1 Ni3 Bi1'
_cell_length_a 4.647
_cell_length_b 4.647
_cell_length_c 4.647
_cell_angle_alpha 90.00
_cell_angle_beta 90.00
_cell_angle_gamma 90.00
_space_group_name_H-M_alt 'P m -3 m'
_space_group_IT_number 221
_space_group_name_Hall '-P 4 2 3'
loop_
_atom_site_label
_atom_site_type_symbol
_atom_site_fract_x
_atom_site_fract_y
_atom_site_fract_z
Hf1 Hf 0.000 0.000 0.000
Ni1 Ni 0.000 0.500 0.500
Bi1 Bi 0.500 0.500 0.500
```

Computed properties:
DFT total energy	-26.38	eV for the cell shown
E above lowest polymorph	127	meV per atom
energy of formation from the pure elements	0.961	eV per atom

***

Entry 7:
Density functional theory data (GGA-PBE) for a relaxed structure of Hf2Ni2Bi.

```
data_Hf2Ni2Bi
_chemical_formula_sum 'Hf4 Ni4 Bi2'
_cell_length_a 3.452
_cell_length_b 3.452
_cell_length_c 16.330
_cell_angle_alpha 90.00
_cell_angle_beta 90.00
_cell_angle_gamma 90.00
_space_group_name_H-M_alt 'I 4/m m m'
_space_group_IT_number 139
_space_group_name_Hall '-I 4 2'
loop_
_atom_site_label
_atom_site_type_symbol
_atom_site_fract_x
_atom_site_fract_y
_atom_site_fract_z
Hf1 Hf 0.000 0.000 0.132
Ni1 Ni 0.000 0.500 0.250
Bi1 Bi 0.000 0.000 0.500
```

Computed properties:
DFT total energy	-72.10	eV for the cell shown
E above lowest polymorph	227	meV per atom
energy of formation from the pure elements	-0.140	eV per atom

***

Entry 8:
Density functional theory data (GGA-PBE) for a relaxed structure of HfNi2Bi2.

```
data_HfNi2Bi2
_chemical_formula_sum 'Hf2 Ni4 Bi4'
_cell_length_a 7.070
_cell_length_b 7.070
_cell_length_c 3.865
_cell_angle_alpha 90.00
_cell_angle_beta 90.00
_cell_angle_gamma 90.00
_space_group_name_H-M_alt 'P 4/m b m'
_space_group_IT_number 127
_space_group_name_Hall '-P 4 2ab'
loop_
_atom_site_label
_atom_site_type_symbol
_atom_site_fract_x
_atom_site_fract_y
_atom_site_fract_z
Hf1 Hf 0.000 0.000 0.000
Ni1 Ni 0.122 0.378 0.000
Bi1 Bi 0.178 0.678 0.500
```

Computed properties:
DFT total energy	-58.54	eV for the cell shown
energy of formation from the pure elements	0.001	eV per atom

***

Entry 9:
Density functional theory data (GGA-PBE) for a relaxed structure of Hf2Ni2Bi.

```
data_Hf2Ni2Bi
_chemical_formula_sum 'Hf4 Ni4 Bi2'
_cell_length_a 7.703
_cell_length_b 7.703
_cell_length_c 3.228
_cell_angle_alpha 90.00
_cell_angle_beta 90.00
_cell_angle_gamma 90.00
_space_group_name_H-M_alt 'P 4/m b m'
_space_group_IT_number 127
_space_group_name_Hall '-P 4 2ab'
loop_
_atom_site_label
_atom_site_type_symbol
_atom_site_fract_x
_atom_site_fract_y
_atom_site_fract_z
Hf1 Hf 0.150 0.350 0.000
Ni1 Ni 0.125 0.625 0.500
Bi1 Bi 0.000 0.000 0.000
```

Computed properties:
DFT total energy	-71.62	eV for the cell shown
E above lowest polymorph	275	meV per atom
energy of formation from the pure elements	-0.092	eV per atom

***

Entry 10:
Density functional theory data (GGA-PBE) for a relaxed structure of HfNi2Bi.

```
data_HfNi2Bi
_chemical_formula_sum 'Hf1 Ni2 Bi1'
_cell_length_a 3.368
_cell_length_b 3.368
_cell_length_c 6.245
_cell_angle_alpha 90.00
_cell_angle_beta 90.00
_cell_angle_gamma 90.00
_space_group_name_H-M_alt 'P 4/m m m'
_space_group_IT_number 123
_space_group_name_Hall '-P 4 2'
loop_
_atom_site_label
_atom_site_type_symbol
_atom_site_fract_x
_atom_site_fract_y
_atom_site_fract_z
Hf1 Hf 0.000 0.000 0.000
Ni1 Ni 0.500 0.500 0.204
Bi1 Bi 0.000 0.000 0.500
```

Computed properties:
DFT total energy	-26.40	eV for the cell shown
energy of formation from the pure elements	-0.251	eV per atom

***

Entry 11:
Density functional theory data (GGA-PBE) for a relaxed structure of HfNi3Bi.

```
data_HfNi3Bi
_chemical_formula_sum 'Hf1 Ni3 Bi1'
_cell_length_a 4.653
_cell_length_b 4.653
_cell_length_c 4.653
_cell_angle_alpha 90.00
_cell_angle_beta 90.00
_cell_angle_gamma 90.00
_space_group_name_H-M_alt 'P m -3 m'
_space_group_IT_number 221
_space_group_name_Hall '-P 4 2 3'
loop_
_atom_site_label
_atom_site_type_symbol
_atom_site_fract_x
_atom_site_fract_y
_atom_site_fract_z
Hf1 Hf 0.000 0.000 0.000
Ni1 Ni 0.000 0.000 0.500
Bi1 Bi 0.500 0.500 0.500
```

Computed properties:
DFT total energy	-27.01	eV for the cell shown
E above lowest polymorph	0	meV per atom
energy of formation from the pure elements	0.833	eV per atom

***

Entry 12:
Density functional theory data (GGA-PBE) for a relaxed structure of HfNiBi2.

```
data_HfNiBi2
_chemical_formula_sum 'Hf4 Ni4 Bi8'
_cell_length_a 7.691
_cell_length_b 7.691
_cell_length_c 6.294
_cell_angle_alpha 90.00
_cell_angle_beta 90.00
_cell_angle_gamma 90.00
_space_group_name_H-M_alt 'I -4 2 d'
_space_group_IT_number 122
_space_group_name_Hall 'I -4 2bw'
loop_
_atom_site_label
_atom_site_type_symbol
_atom_site_fract_x
_atom_site_fract_y
_atom_site_fract_z
Hf1 Hf 0.000 0.000 0.000
Ni1 Ni 0.000 0.000 0.500
Bi1 Bi 0.200 0.250 0.625
```

Computed properties:
DFT total energy	-90.07	eV for the cell shown
E above lowest polymorph	0	meV per atom
energy of formation from the pure elements	0.245	eV per atom

***

Question: Among the records above, which one has the highest DFT total energy?
Answer: HfNbBi2Te